1.
Cd2CoAgP: optimized geometry, PBE. Values from VASP.

Computed properties:
DFT formation energy = 5.4 eV/f.u.
density of states at the Fermi level = 4.55 states/eV per cell

Structure (Quantum ESPRESSO input):
```
&SYSTEM
  ibrav = 0, nat = 5, ntyp = 4
/
ATOMIC_SPECIES
Cd 112.41 Cd.upf
Co 58.93 Co.upf
Ag 107.87 Ag.upf
P 30.97 P.upf
ATOMIC_POSITIONS crystal
Cd 0.000 0.500 0.000
Cd 0.500 0.000 0.000
Co 0.000 0.000 0.500
Ag 0.500 0.500 0.000
P 0.500 0.500 0.500
CELL_PARAMETERS angstrom
5.229 0.000 0.000
0.000 5.229 0.000
0.000 0.000 4.612
```

2.
Rb2CdCoAg: optimized geometry, PBE. Values from VASP.

Computed properties:
DFT formation energy = 3.1 eV/f.u.
density of states at the Fermi level = 3.51 states/eV per cell

Structure (Quantum ESPRESSO input):
```
&SYSTEM
  ibrav = 0, nat = 5, ntyp = 4
/
ATOMIC_SPECIES
Rb 85.47 Rb.upf
Cd 112.41 Cd.upf
Co 58.93 Co.upf
Ag 107.87 Ag.upf
ATOMIC_POSITIONS crystal
Rb 0.000 0.500 0.000
Rb 0.500 0.000 0.000
Cd 0.000 0.000 0.500
Co 0.000 0.000 0.000
Ag 0.500 0.500 0.500
CELL_PARAMETERS angstrom
6.410 0.000 0.000
0.000 6.410 0.000
0.000 0.000 5.005
```

3.
CdCoRe2Ag: optimized geometry, PBE. Values from VASP.

Computed properties:
DFT formation energy = 7.2 eV/f.u.
density of states at the Fermi level = 5.04 states/eV per cell

Structure (Quantum ESPRESSO input):
```
&SYSTEM
  ibrav = 0, nat = 5, ntyp = 4
/
ATOMIC_SPECIES
Cd 112.41 Cd.upf
Co 58.93 Co.upf
Re 186.21 Re.upf
Ag 107.87 Ag.upf
ATOMIC_POSITIONS crystal
Cd 0.000 0.000 0.000
Co 0.000 0.000 0.500
Re 0.000 0.500 0.500
Re 0.500 0.000 0.500
Ag 0.500 0.500 0.000
CELL_PARAMETERS angstrom
4.427 0.000 0.000
0.000 4.427 0.000
0.000 0.000 4.821
```

4.
ScCdCoAg: optimized geometry, PBE. Values from VASP.

Computed properties:
DFT formation energy = -0.2 eV/f.u.
density of states at the Fermi level = 8.29 states/eV per cell

Structure (Quantum ESPRESSO input):
```
&SYSTEM
  ibrav = 0, nat = 16, ntyp = 4
/
ATOMIC_SPECIES
Sc 44.96 Sc.upf
Cd 112.41 Cd.upf
Co 58.93 Co.upf
Ag 107.87 Ag.upf
ATOMIC_POSITIONS crystal
Sc 0.000 0.000 0.000
Sc 0.000 0.500 0.500
Sc 0.500 0.000 0.500
Sc 0.500 0.500 0.000
Cd 0.000 0.000 0.500
Cd 0.000 0.500 0.000
Cd 0.500 0.000 0.000
Cd 0.500 0.500 0.500
Co 0.250 0.250 0.250
Co 0.250 0.750 0.750
Co 0.750 0.250 0.750
Co 0.750 0.750 0.250
Ag 0.250 0.250 0.750
Ag 0.250 0.750 0.250
Ag 0.750 0.250 0.250
Ag 0.750 0.750 0.750
CELL_PARAMETERS angstrom
6.527 0.000 0.000
0.000 6.527 0.000
0.000 0.000 6.527
```